{
  "formula": "Ba3Mn2IrO9",
  "functional": "GGA+U",
  "state": "optimized geometry",
  "dft_energy_ev_per_fu": -102.65,
  "sg": "R-3m (166)",
  "total_magnetization_mub_per_cell": 5.0,
  "vol_a3_per_cell": 217,
  "cell": [[2.9186, 1.6850, 7.3400], [-2.9186, 1.6850, 7.3400], [0.0000, -3.3701, 7.3400]],
  "species": ["Ba", "Ba", "Ba", "Mn", "Mn", "Ir", "O", "O", "O", "O", "O", "O", "O", "O", "O"],
  "frac_coords": [[0.0000, 0.0000, 0.0000], [0.2201, 0.2201, 0.2201], [0.7799, 0.7799, 0.7799], [0.3779, 0.3779, 0.3779], [0.6221, 0.6221, 0.6221], [0.5000, 0.5000, 0.5000], [0.0000, 0.5000, 0.5000], [0.2500, 0.7087, 0.7087], [0.2913, 0.2913, 0.7500], [0.2913, 0.7500, 0.2913], [0.5000, 0.0000, 0.5000], [0.5000, 0.5000, 0.0000], [0.7087, 0.2500, 0.7087], [0.7087, 0.7087, 0.2500], [0.7500, 0.2913, 0.2913]]
}